(1)
# GGA-PBE ScBH6, relaxed
# Calculated total energy: -100.338 eV per cell
data_ScBH6
_cell_length_a 5.7456
_cell_length_b 5.7456
_cell_length_c 5.0380
_cell_angle_alpha 90.00
_cell_angle_beta 90.00
_cell_angle_gamma 120.00
_space_group_name_H-M_alt 'R -3 m'
_space_group_IT_number 166
_space_group_name_Hall '-R 3 2"'
loop_
_atom_site_label
_atom_site_type_symbol
_atom_site_fract_x
_atom_site_fract_y
_atom_site_fract_z
Sc1 Sc 0.0000 0.0000 0.0000
B1 B 0.0000 0.0000 0.5000
H1 H 0.1052 0.5526 0.3269



(2)
# GGA-PBE ScB2H6, relaxed
# Calculated total energy: -115.168 eV per cell
data_ScB2H6
_cell_length_a 6.131
_cell_length_b 6.131
_cell_length_c 6.131
_cell_angle_alpha 90.00
_cell_angle_beta 90.00
_cell_angle_gamma 90.00
_space_group_name_H-M_alt 'F m -3 m'
_space_group_IT_number 225
_space_group_name_Hall '-F 4 2 3'
loop_
_atom_site_label
_atom_site_type_symbol
_atom_site_fract_x
_atom_site_fract_y
_atom_site_fract_z
Sc1 Sc 0.000 0.000 0.000
B1 B 0.250 0.250 0.250
H1 H 0.000 0.000 0.321



(3)
# GGA-PBE ScB3H, relaxed
# Calculated total energy: -25.617 eV per cell
data_ScB3H
_cell_length_a 3.427
_cell_length_b 3.427
_cell_length_c 3.427
_cell_angle_alpha 90.00
_cell_angle_beta 90.00
_cell_angle_gamma 90.00
_space_group_name_H-M_alt 'P m -3 m'
_space_group_IT_number 221
_space_group_name_Hall '-P 4 2 3'
loop_
_atom_site_label
_atom_site_type_symbol
_atom_site_fract_x
_atom_site_fract_y
_atom_site_fract_z
Sc1 Sc 0.000 0.000 0.000
B1 B 0.000 0.500 0.500
H1 H 0.500 0.500 0.500



(4)
# GGA-PBE ScB2H6, relaxed
# Calculated total energy: -168.021 eV per cell
data_ScB2H6
_cell_length_a 7.483
_cell_length_b 6.152
_cell_length_c 6.410
_cell_angle_alpha 90.00
_cell_angle_beta 105.40
_cell_angle_gamma 90.00
_space_group_name_H-M_alt 'C 1 2/c 1'
_space_group_IT_number 15
loop_
_space_group_symop_operation_xyz
'x,y,z'
'-x,-y,-z'
'-x,y,-z+1/2'
'x,-y,z+1/2'
'x+1/2,y+1/2,z'
'-x+1/2,-y+1/2,-z'
'-x+1/2,y+1/2,-z+1/2'
'x+1/2,-y+1/2,z+1/2'
loop_
_atom_site_label
_atom_site_type_symbol
_atom_site_fract_x
_atom_site_fract_y
_atom_site_fract_z
Sc1 Sc 0.000 0.060 0.250
B1 B 0.229 0.174 0.606
H1 H 0.099 0.248 0.671
H2 H 0.138 0.360 0.235
H3 H 0.189 0.022 0.047



(5)
# GGA-PBE ScB2H8, relaxed
# Calculated total energy: -195.590 eV per cell
data_ScB2H8
_cell_length_a 13.149
_cell_length_b 5.805
_cell_length_c 6.508
_cell_angle_alpha 90.00
_cell_angle_beta 118.35
_cell_angle_gamma 90.00
_space_group_name_H-M_alt 'C 1 2/c 1'
_space_group_IT_number 15
loop_
_space_group_symop_operation_xyz
'x,y,z'
'-x,-y,-z'
'-x,y,-z+1/2'
'x,-y,z+1/2'
'x+1/2,y+1/2,z'
'-x+1/2,-y+1/2,-z'
'-x+1/2,y+1/2,-z+1/2'
'x+1/2,-y+1/2,z+1/2'
loop_
_atom_site_label
_atom_site_type_symbol
_atom_site_fract_x
_atom_site_fract_y
_atom_site_fract_z
Sc1 Sc 0.000 0.018 0.250
B1 B 0.112 0.233 0.092
H1 H 0.006 0.266 0.955
H2 H 0.123 0.265 0.291
H3 H 0.137 0.025 0.089
H4 H 0.174 0.364 0.061



(6)
# GGA-PBE ScBH2, relaxed
# Calculated total energy: -77.164 eV per cell
data_ScBH2
_cell_length_a 3.618
_cell_length_b 3.618
_cell_length_c 9.621
_cell_angle_alpha 90.00
_cell_angle_beta 90.00
_cell_angle_gamma 90.00
_space_group_name_H-M_alt 'I -4 2 d'
_space_group_IT_number 122
_space_group_name_Hall 'I -4 2bw'
loop_
_atom_site_label
_atom_site_type_symbol
_atom_site_fract_x
_atom_site_fract_y
_atom_site_fract_z
Sc1 Sc 0.000 0.000 0.000
B1 B 0.000 0.000 0.500
H1 H 0.005 0.250 0.625



(7)
# GGA-PBE ScBH2, relaxed
# Calculated total energy: -58.083 eV per cell
data_ScBH2
_cell_length_a 3.3444
_cell_length_b 3.3444
_cell_length_c 9.2901
_cell_angle_alpha 90.00
_cell_angle_beta 90.00
_cell_angle_gamma 120.00
_space_group_name_H-M_alt 'R -3 m'
_space_group_IT_number 166
_space_group_name_Hall '-R 3 2"'
loop_
_atom_site_label
_atom_site_type_symbol
_atom_site_fract_x
_atom_site_fract_y
_atom_site_fract_z
Sc1 Sc 0.0000 0.0000 0.0000
B1 B 0.0000 0.0000 0.5000
H1 H 0.0000 0.0000 0.2264



(8)
# GGA-PBE ScTaB2H, relaxed
# Calculated total energy: -30.377 eV per cell
data_ScTaB2H
_cell_length_a 4.226
_cell_length_b 4.226
_cell_length_c 3.288
_cell_angle_alpha 90.00
_cell_angle_beta 90.00
_cell_angle_gamma 90.00
_space_group_name_H-M_alt 'P 4/m m m'
_space_group_IT_number 123
_space_group_name_Hall '-P 4 2'
loop_
_atom_site_label
_atom_site_type_symbol
_atom_site_fract_x
_atom_site_fract_y
_atom_site_fract_z
Sc1 Sc 0.000 0.000 0.000
Ta1 Ta 0.500 0.500 0.500
B1 B 0.000 0.500 0.000
H1 H 0.000 0.000 0.500



(9)
# GGA-PBE ZrSc2BH, relaxed
# Calculated total energy: -30.252 eV per cell
data_ZrSc2BH
_cell_length_a 4.002
_cell_length_b 4.002
_cell_length_c 4.581
_cell_angle_alpha 90.00
_cell_angle_beta 90.00
_cell_angle_gamma 90.00
_space_group_name_H-M_alt 'P 4/m m m'
_space_group_IT_number 123
_space_group_name_Hall '-P 4 2'
loop_
_atom_site_label
_atom_site_type_symbol
_atom_site_fract_x
_atom_site_fract_y
_atom_site_fract_z
Zr1 Zr 0.000 0.000 0.000
Sc1 Sc 0.000 0.500 0.500
B1 B 0.500 0.500 0.000
H1 H 0.500 0.500 0.500



(10)
# GGA-PBE B2H6Se, relaxed
# Calculated total energy: -34.408 eV per cell
data_B2H6Se
_cell_length_a 2.457
_cell_length_b 4.096
_cell_length_c 9.272
_cell_angle_alpha 87.35
_cell_angle_beta 85.39
_cell_angle_gamma 78.60
_space_group_name_H-M_alt 'P -1'
_space_group_IT_number 2
loop_
_space_group_symop_operation_xyz
'x,y,z'
'-x,-y,-z'
loop_
_atom_site_label
_atom_site_type_symbol
_atom_site_fract_x
_atom_site_fract_y
_atom_site_fract_z
B1 B 0.017 0.033 0.409
H1 H 0.064 0.675 0.643
H2 H 0.113 0.828 0.318
H3 H 0.465 0.223 0.374
Se1 Se 0.500 0.500 0.000



(11)
# GGA-PBE BHSe2, relaxed
# Calculated total energy: -47.434 eV per cell
data_BHSe2
_cell_length_a 5.851
_cell_length_b 5.851
_cell_length_c 5.851
_cell_angle_alpha 90.00
_cell_angle_beta 90.00
_cell_angle_gamma 90.00
_space_group_name_H-M_alt 'F m -3 m'
_space_group_IT_number 225
_space_group_name_Hall '-F 4 2 3'
loop_
_atom_site_label
_atom_site_type_symbol
_atom_site_fract_x
_atom_site_fract_y
_atom_site_fract_z
B1 B 0.000 0.000 0.000
H1 H 0.000 0.000 0.500
Se1 Se 0.250 0.250 0.250



(12)
# GGA-PBE BHSe2, relaxed
# Calculated total energy: -64.642 eV per cell
data_BHSe2
_cell_length_a 4.941
_cell_length_b 4.941
_cell_length_c 9.592
_cell_angle_alpha 90.00
_cell_angle_beta 90.00
_cell_angle_gamma 90.00
_space_group_name_H-M_alt 'I -4 2 d'
_space_group_IT_number 122
_space_group_name_Hall 'I -4 2bw'
loop_
_atom_site_label
_atom_site_type_symbol
_atom_site_fract_x
_atom_site_fract_y
_atom_site_fract_z
B1 B 0.000 0.000 0.000
H1 H 0.000 0.000 0.500
Se1 Se 0.239 0.250 0.125



(13)
# GGA-PBE BHSe2, relaxed
# Calculated total energy: -44.745 eV per cell
data_BHSe2
_cell_length_a 3.4063
_cell_length_b 3.4063
_cell_length_c 18.1544
_cell_angle_alpha 90.00
_cell_angle_beta 90.00
_cell_angle_gamma 120.00
_space_group_name_H-M_alt 'R -3 m'
_space_group_IT_number 166
_space_group_name_Hall '-R 3 2"'
loop_
_atom_site_label
_atom_site_type_symbol
_atom_site_fract_x
_atom_site_fract_y
_atom_site_fract_z
B1 B 0.0000 0.0000 0.0000
H1 H 0.0000 0.0000 0.5000
Se1 Se 0.0000 0.0000 0.4012



(14)
# GGA-PBE BHSe2, relaxed
# Calculated total energy: -42.024 eV per cell
data_BHSe2
_cell_length_a 3.9062
_cell_length_b 3.9062
_cell_length_c 18.3469
_cell_angle_alpha 90.00
_cell_angle_beta 90.00
_cell_angle_gamma 120.00
_space_group_name_H-M_alt 'R -3 m'
_space_group_IT_number 166
_space_group_name_Hall '-R 3 2"'
loop_
_atom_site_label
_atom_site_type_symbol
_atom_site_fract_x
_atom_site_fract_y
_atom_site_fract_z
B1 B 0.0000 0.0000 0.0000
H1 H 0.0000 0.0000 0.5000
Se1 Se 0.0000 0.0000 0.0993



(15)
# GGA-PBE B3HSe, relaxed
# Calculated total energy: -17.106 eV per cell
data_B3HSe
_cell_length_a 3.530
_cell_length_b 3.530
_cell_length_c 3.530
_cell_angle_alpha 90.00
_cell_angle_beta 90.00
_cell_angle_gamma 90.00
_space_group_name_H-M_alt 'P m -3 m'
_space_group_IT_number 221
_space_group_name_Hall '-P 4 2 3'
loop_
_atom_site_label
_atom_site_type_symbol
_atom_site_fract_x
_atom_site_fract_y
_atom_site_fract_z
B1 B 0.000 0.000 0.500
H1 H 0.000 0.000 0.000
Se1 Se 0.500 0.500 0.500



(16)
# GGA-PBE BH3Se2, relaxed
# Calculated total energy: -92.216 eV per cell
data_BH3Se2
_cell_length_a 15.406
_cell_length_b 6.901
_cell_length_c 3.766
_cell_angle_alpha 90.00
_cell_angle_beta 90.34
_cell_angle_gamma 90.00
_space_group_name_H-M_alt 'C 1 2/c 1'
_space_group_IT_number 15
loop_
_space_group_symop_operation_xyz
'x,y,z'
'-x,-y,-z'
'-x,y,-z+1/2'
'x,-y,z+1/2'
'x+1/2,y+1/2,z'
'-x+1/2,-y+1/2,-z'
'-x+1/2,y+1/2,-z+1/2'
'x+1/2,-y+1/2,z+1/2'
loop_
_atom_site_label
_atom_site_type_symbol
_atom_site_fract_x
_atom_site_fract_y
_atom_site_fract_z
B1 B 0.000 0.055 0.250
H1 H 0.000 0.228 0.250
H2 H 0.059 0.039 0.611
Se1 Se 0.203 0.383 0.753



(17)
# GGA-PBE BHSe2, relaxed
# Calculated total energy: -68.370 eV per cell
data_BHSe2
_cell_length_a 6.081
_cell_length_b 7.769
_cell_length_c 5.727
_cell_angle_alpha 90.00
_cell_angle_beta 90.00
_cell_angle_gamma 90.00
_space_group_name_H-M_alt 'P n a 21'
_space_group_IT_number 33
loop_
_space_group_symop_operation_xyz
'x,y,z'
'-x,-y,z+1/2'
'-x+1/2,y+1/2,z+1/2'
'x+1/2,-y+1/2,z'
loop_
_atom_site_label
_atom_site_type_symbol
_atom_site_fract_x
_atom_site_fract_y
_atom_site_fract_z
B1 B 0.053 0.116 0.000
H1 H 0.016 0.538 0.442
Se1 Se 0.051 0.107 0.641
Se2 Se 0.109 0.658 0.622



(18)
# GGA-PBE BHSe4, relaxed
# Calculated total energy: -92.927 eV per cell
data_BHSe4
_cell_length_a 5.977
_cell_length_b 21.039
_cell_length_c 4.515
_cell_angle_alpha 90.00
_cell_angle_beta 110.80
_cell_angle_gamma 90.00
_space_group_name_H-M_alt 'C 1 2/c 1'
_space_group_IT_number 15
loop_
_space_group_symop_operation_xyz
'x,y,z'
'-x,-y,-z'
'-x,y,-z+1/2'
'x,-y,z+1/2'
'x+1/2,y+1/2,z'
'-x+1/2,-y+1/2,-z'
'-x+1/2,y+1/2,-z+1/2'
'x+1/2,-y+1/2,z+1/2'
loop_
_atom_site_label
_atom_site_type_symbol
_atom_site_fract_x
_atom_site_fract_y
_atom_site_fract_z
B1 B 0.000 0.150 0.250
H1 H 0.000 0.392 0.750
Se1 Se 0.190 0.090 0.057
Se2 Se 0.216 0.202 0.633



(19)
# GGA-PBE B2H2Se, relaxed
# Calculated total energy: -36.760 eV per cell
data_B2H2Se
_cell_length_a 2.696
_cell_length_b 2.696
_cell_length_c 15.248
_cell_angle_alpha 90.00
_cell_angle_beta 90.00
_cell_angle_gamma 90.00
_space_group_name_H-M_alt 'I 4/m m m'
_space_group_IT_number 139
_space_group_name_Hall '-I 4 2'
loop_
_atom_site_label
_atom_site_type_symbol
_atom_site_fract_x
_atom_site_fract_y
_atom_site_fract_z
B1 B 0.000 0.500 0.250
H1 H 0.000 0.000 0.198
Se1 Se 0.000 0.000 0.500



(20)
# GGA-PBE B2H6Se, relaxed
# Calculated total energy: -35.577 eV per cell
data_B2H6Se
_cell_length_a 4.911
_cell_length_b 5.049
_cell_length_c 5.418
_cell_angle_alpha 110.94
_cell_angle_beta 108.02
_cell_angle_gamma 100.77
_space_group_name_H-M_alt 'P -1'
_space_group_IT_number 2
loop_
_space_group_symop_operation_xyz
'x,y,z'
'-x,-y,-z'
loop_
_atom_site_label
_atom_site_type_symbol
_atom_site_fract_x
_atom_site_fract_y
_atom_site_fract_z
B1 B 0.062 0.073 0.188
H1 H 0.051 0.308 0.332
H2 H 0.090 0.875 0.278
H3 H 0.214 0.092 0.030
Se1 Se 0.500 0.000 0.500



(21)
# GGA-PBE B2HSe, relaxed
# Calculated total energy: -52.163 eV per cell
data_B2HSe
_cell_length_a 5.321
_cell_length_b 5.321
_cell_length_c 5.321
_cell_angle_alpha 90.00
_cell_angle_beta 90.00
_cell_angle_gamma 90.00
_space_group_name_H-M_alt 'F m -3 m'
_space_group_IT_number 225
_space_group_name_Hall '-F 4 2 3'
loop_
_atom_site_label
_atom_site_type_symbol
_atom_site_fract_x
_atom_site_fract_y
_atom_site_fract_z
B1 B 0.250 0.250 0.250
H1 H 0.000 0.000 0.000
Se1 Se 0.000 0.000 0.500



(22)
# GGA-PBE BHSe, relaxed
# Calculated total energy: -26.794 eV per cell
data_BHSe
_cell_length_a 4.733
_cell_length_b 6.107
_cell_length_c 6.142
_cell_angle_alpha 85.94
_cell_angle_beta 67.47
_cell_angle_gamma 67.50
_space_group_name_H-M_alt 'P 1'
_space_group_IT_number 1
loop_
_space_group_symop_operation_xyz
'x,y,z'
loop_
_atom_site_label
_atom_site_type_symbol
_atom_site_fract_x
_atom_site_fract_y
_atom_site_fract_z
B1 B 0.000 0.000 0.000
B2 B 0.054 0.703 0.190
H1 H 0.103 0.147 0.906
H2 H 0.211 0.557 0.284
Se1 Se 0.148 0.681 0.851
Se2 Se 0.736 0.022 0.340



(23)
# GGA-PBE B3HSe, relaxed
# Calculated total energy: -14.039 eV per cell
data_B3HSe
_cell_length_a 4.118
_cell_length_b 4.118
_cell_length_c 4.118
_cell_angle_alpha 90.00
_cell_angle_beta 90.00
_cell_angle_gamma 90.00
_space_group_name_H-M_alt 'P m -3 m'
_space_group_IT_number 221
_space_group_name_Hall '-P 4 2 3'
loop_
_atom_site_label
_atom_site_type_symbol
_atom_site_fract_x
_atom_site_fract_y
_atom_site_fract_z
B1 B 0.000 0.000 0.500
H1 H 0.500 0.500 0.500
Se1 Se 0.000 0.000 0.000



(24)
# GGA-PBE BHSe, relaxed
# Calculated total energy: -52.851 eV per cell
data_BHSe
_cell_length_a 2.663
_cell_length_b 5.540
_cell_length_c 10.337
_cell_angle_alpha 90.00
_cell_angle_beta 90.00
_cell_angle_gamma 90.00
_space_group_name_H-M_alt 'P 21 21 21'
_space_group_IT_number 19
loop_
_space_group_symop_operation_xyz
'x,y,z'
'-x+1/2,-y,z+1/2'
'x+1/2,-y+1/2,-z'
'-x,y+1/2,-z+1/2'
loop_
_atom_site_label
_atom_site_type_symbol
_atom_site_fract_x
_atom_site_fract_y
_atom_site_fract_z
B1 B 0.001 0.153 0.032
H1 H 0.001 0.944 0.003
Se1 Se 0.001 0.166 0.234